(1)
Below is an optimized crystal structure of Pu5Mn, with properties calculated at the GGA-PBE level.

Cell: 4.6440 13.5158 3.8606 Å, 90.00 90.00 90.00°
Atoms (fractional coordinates):
Pu 0.0000 0.0000 0.0000
Pu 0.0000 0.1696 0.5000
Pu 0.0000 0.3454 0.0000
Pu 0.0000 0.6546 0.0000
Pu 0.0000 0.8304 0.5000
Pu 0.5000 0.1546 0.0000
Pu 0.5000 0.3304 0.5000
Pu 0.5000 0.5000 0.0000
Pu 0.5000 0.6696 0.5000
Pu 0.5000 0.8454 0.0000
Mn 0.0000 0.5000 0.5000
Mn 0.5000 0.0000 0.5000

Values from the calculation:
- Size of the total moment: 4.94 μB per cell
- Crystal system: orthorhombic
- Theoretical density: 17.474 Mg/m³

(2)
Below is an optimized crystal structure of PuMn, with properties calculated at the GGA-PBE level.

Cell: 5.3067 5.3067 5.3067 Å, 90.00 90.00 90.00°
Atoms (fractional coordinates):
Pu 0.0000 0.0000 0.0000
Pu 0.0000 0.5000 0.5000
Pu 0.5000 0.0000 0.5000
Pu 0.5000 0.5000 0.0000
Mn 0.0000 0.0000 0.5000
Mn 0.0000 0.5000 0.0000
Mn 0.5000 0.0000 0.0000
Mn 0.5000 0.5000 0.5000

Values from the calculation:
- Size of the total moment: 11.88 μB per cell
- Crystal system: cubic
- Theoretical density: 13.287 Mg/m³

(3)
Below is an optimized crystal structure of PuMn6, with properties calculated at the GGA-PBE level.

Cell: 6.0764 6.0764 6.0764 Å, 90.00 90.00 90.00°
Atoms (fractional coordinates):
Pu 0.0000 0.0000 0.0000
Pu 0.5000 0.5000 0.5000
Mn 0.0000 0.2500 0.5000
Mn 0.0000 0.5000 0.2500
Mn 0.0000 0.5000 0.7500
Mn 0.0000 0.7500 0.5000
Mn 0.2500 0.0000 0.5000
Mn 0.2500 0.5000 0.0000
Mn 0.5000 0.0000 0.2500
Mn 0.5000 0.0000 0.7500
Mn 0.5000 0.2500 0.0000
Mn 0.5000 0.7500 0.0000
Mn 0.7500 0.0000 0.5000
Mn 0.7500 0.5000 0.0000

Values from the calculation:
- Size of the total moment: 10.32 μB per cell
- Crystal system: cubic
- Theoretical density: 8.491 Mg/m³

(4)
Below is an optimized crystal structure of Pu3Mn, with properties calculated at the GGA-PBE level.

Cell: 4.0227 4.0227 4.5210 Å, 90.00 90.00 90.00°
Atoms (fractional coordinates):
Pu 0.0000 0.0000 0.0000
Pu 0.0000 0.5000 0.6208
Pu 0.5000 0.0000 0.3792
Mn 0.5000 0.5000 0.0000

Values from the calculation:
- Size of the total moment: 3.22 μB per cell
- Crystal system: tetragonal
- Theoretical density: 17.862 Mg/m³
- ΔE to the lowest computed polymorph: 61.9 meV/atom

(5)
Below is an optimized crystal structure of Pu4Mn3, with properties calculated at the GGA-PBE level.

Cell: 7.1347 7.1347 7.1347 Å, 109.47 109.47 109.47°
Atoms (fractional coordinates):
Pu 0.0000 0.3564 0.5000
Pu 0.0000 0.8564 0.5000
Pu 0.1436 0.1436 0.1436
Pu 0.3564 0.5000 0.0000
Pu 0.5000 0.0000 0.3564
Pu 0.5000 0.0000 0.8564
Pu 0.6436 0.6436 0.6436
Pu 0.8564 0.5000 0.0000
Mn 0.1250 0.7500 0.8750
Mn 0.2500 0.6250 0.3750
Mn 0.3750 0.2500 0.6250
Mn 0.6250 0.3750 0.2500
Mn 0.7500 0.8750 0.1250
Mn 0.8750 0.1250 0.7500

Values from the calculation:
- Size of the total moment: 27.63 μB per cell
- Crystal system: cubic
- Theoretical density: 13.551 Mg/m³

(6)
Below is an optimized crystal structure of Rb4Pu3MnS8, with properties calculated at the GGA-PBE level.

Cell: 8.9422 8.9422 8.9422 Å, 54.13 54.13 54.13°
Atoms (fractional coordinates):
Rb 0.0000 0.0000 0.0000
Rb 0.0000 0.5000 0.5000
Rb 0.5000 0.0000 0.5000
Rb 0.5000 0.5000 0.0000
Pu 0.0000 0.0000 0.5000
Pu 0.0000 0.5000 0.0000
Pu 0.5000 0.0000 0.0000
Mn 0.5000 0.5000 0.5000
S 0.2304 0.2304 0.2304
S 0.2363 0.7243 0.7243
S 0.2757 0.2757 0.7637
S 0.2757 0.7637 0.2757
S 0.7243 0.2363 0.7243
S 0.7243 0.7243 0.2363
S 0.7637 0.2757 0.2757
S 0.7696 0.7696 0.7696

Values from the calculation:
- Size of the total moment: 19.00 μB per cell
- Crystal system: trigonal
- Formation energy (no corrections): -21.665 eV/f.u.
- Theoretical density: 5.272 Mg/m³

(7)
Below is an optimized crystal structure of RbPu2MnS4, with properties calculated at the GGA-PBE level.

Cell: 7.2932 7.2932 13.9806 Å, 90.00 90.00 147.70°
Atoms (fractional coordinates):
Rb 0.1023 0.8977 0.7500
Rb 0.8977 0.1023 0.2500
Pu 0.3685 0.6315 0.5539
Pu 0.3685 0.6315 0.9461
Pu 0.6315 0.3685 0.0539
Pu 0.6315 0.3685 0.4461
Mn 0.1701 0.8299 0.2500
Mn 0.8299 0.1701 0.7500
S 0.0000 0.0000 0.0000
S 0.0000 0.0000 0.5000
S 0.2576 0.7424 0.1091
S 0.2576 0.7424 0.3909
S 0.4185 0.5815 0.7500
S 0.5815 0.4185 0.2500
S 0.7424 0.2576 0.6091
S 0.7424 0.2576 0.8909

Values from the calculation:
- Size of the total moment: 29.89 μB per cell
- Crystal system: orthorhombic
- Formation energy (no corrections): -10.879 eV/f.u.
- Theoretical density: 6.324 Mg/m³

(8)
Below is an optimized crystal structure of Rb2Pu2MnS6, with properties calculated at the GGA-PBE level.

Cell: 6.8121 6.8121 8.1507 Å, 97.72 97.72 120.60°
Atoms (fractional coordinates):
Rb 0.1635 0.8365 0.0000
Rb 0.8365 0.1635 0.0000
Pu 0.3336 0.6664 0.5000
Pu 0.6664 0.3336 0.5000
Mn 0.0000 0.0000 0.5000
S 0.0597 0.3935 0.6833
S 0.2571 0.2571 0.3253
S 0.3935 0.0597 0.6833
S 0.6065 0.9403 0.3167
S 0.7429 0.7429 0.6747
S 0.9403 0.6065 0.3167

Values from the calculation:
- Size of the total moment: 3.57 μB per cell
- Crystal system: monoclinic
- Formation energy (no corrections): -13.652 eV/f.u.
- Theoretical density: 4.802 Mg/m³

Number 1: electronic total energy -159.4 eV per cell. Number 2: electronic total energy -90.7 eV per cell. Number 3: electronic total energy -127.7 eV per cell. Number 4: electronic total energy -51.2 eV per cell. Number 5: electronic total energy -167.2 eV per cell. Number 6: electronic total energy -110.7 eV per cell. Number 7: electronic total energy -132.4 eV per cell. Number 8: electronic total energy -78.2 eV per cell.